Record 1
CaCdAgF6 | PBE | optimized geometry

Geometry as POSCAR:
```
CaCdAgF6
1.0
5.121 0.000 0.000
0.000 5.121 0.000
0.000 0.000 10.971
Ca Cd Ag F
2 2 2 12
Cartesian
0.000 0.000 0.000 Ca
2.560 2.560 5.486 Ca
0.000 0.000 7.296 Cd
2.560 2.560 1.810 Cd
0.000 0.000 3.648 Ag
2.560 2.560 9.133 Ag
0.987 0.987 5.511 F
0.999 0.999 1.785 F
1.038 1.038 9.128 F
1.523 3.598 3.642 F
1.561 3.560 7.271 F
1.574 3.547 0.025 F
3.547 1.574 0.025 F
3.560 1.561 7.271 F
3.598 1.523 3.642 F
4.083 4.083 9.128 F
4.122 4.122 1.785 F
4.134 4.134 5.511 F
```

Summary:
Density of states at the Fermi level: 3.7 states/eV/f.u.
ΔE_f (raw): -2.38 eV per atom
Magnetic moment: 2.0 μB per cell
E_tot: -38.385 eV/f.u.

---

Record 2
CaCdAg2F6 | PBE | optimized geometry

Geometry as POSCAR:
```
CaCdAg2F6
1.0
5.945 0.000 0.000
0.000 6.153 0.000
-5.903 0.000 8.595
Ca Cd Ag F
2 2 4 12
Cartesian
0.000 0.000 0.000 Ca
-2.952 3.077 4.298 Ca
0.021 0.000 4.298 Cd
2.973 3.077 0.000 Cd
-2.828 0.371 6.452 Ag
0.124 2.706 2.154 Ag
-0.082 3.448 6.441 Ag
2.870 5.782 2.144 Ag
-0.732 0.367 2.148 F
-3.684 2.709 6.446 F
1.163 4.296 0.579 F
-1.789 4.934 4.876 F
1.820 1.226 0.581 F
-1.131 1.851 4.879 F
1.173 4.302 3.717 F
-1.778 4.928 8.015 F
1.831 1.219 3.719 F
-1.121 1.858 8.017 F
3.726 3.444 2.149 F
0.774 5.786 6.447 F
```

Summary:
Density of states at the Fermi level: 0.0 states/eV/f.u.
ΔE_f (raw): -2.21 eV per atom
Magnetic moment: 0.0 μB per cell
E_tot: -41.906 eV/f.u.

---

Record 3
CaCdAg2F8 | PBE | optimized geometry

Geometry as POSCAR:
```
CaCdAg2F8
1.0
-2.742 2.742 5.520
2.742 -2.742 5.520
2.742 2.742 -5.520
Ca Cd Ag F
1 1 2 8
Cartesian
0.000 0.000 0.000 Ca
2.742 0.000 2.760 Cd
0.000 0.000 5.520 Ag
0.000 2.742 2.760 Ag
1.369 1.372 -1.381 F
1.373 -1.370 4.138 F
1.372 1.369 1.381 F
4.112 1.369 1.381 F
1.369 4.112 -1.381 F
1.373 1.370 4.138 F
-1.370 1.373 6.901 F
1.370 1.373 6.901 F
```

Summary:
Density of states at the Fermi level: 9.0 states/eV/f.u.
ΔE_f (raw): -2.02 eV per atom
Magnetic moment: 2.1 μB per cell
E_tot: -47.829 eV/f.u.

---

Record 4
CaCd2AgF | PBE | optimized geometry

Geometry as POSCAR:
```
CaCd2AgF
1.0
5.250 0.000 0.000
0.000 5.250 0.000
0.000 0.000 4.320
Ca Cd Ag F
1 2 1 1
Cartesian
0.000 0.000 0.000 Ca
0.000 2.625 2.160 Cd
2.625 0.000 2.160 Cd
2.625 2.625 0.000 Ag
0.000 0.000 2.160 F
```

Summary:
Density of states at the Fermi level: 1.2 states/eV/f.u.
ΔE_f (raw): -0.84 eV per atom
Magnetic moment: 0.0 μB per cell
E_tot: -12.744 eV/f.u.

---

Record 5
CaCd2GaAg2 | PBE | optimized geometry

Geometry as POSCAR:
```
CaCd2GaAg2
1.0
-2.702 2.702 5.583
2.702 -2.702 5.583
2.702 2.702 -5.583
Ca Cd Ga Ag
1 2 1 2
Cartesian
0.000 0.000 0.000 Ca
2.702 0.000 2.792 Cd
0.000 2.702 2.792 Cd
0.000 0.000 5.583 Ga
0.000 0.000 3.083 Ag
0.000 0.000 8.083 Ag
```

Summary:
Density of states at the Fermi level: 2.8 states/eV/f.u.
Magnetic moment: 0.0 μB per cell
E_tot: -12.035 eV/f.u.

---

Record 6
Ca2Cd6GaAg | PBE | optimized geometry

Geometry as POSCAR:
```
Ca2Cd6GaAg
1.0
7.065 0.000 0.000
3.304 6.266 0.000
3.320 2.014 5.930
Ca Cd Ga Ag
2 6 1 1
Cartesian
2.579 1.568 1.112 Ca
11.110 6.712 4.818 Ca
4.307 4.714 2.035 Cd
5.078 2.209 3.827 Cd
7.494 5.806 5.062 Cd
6.196 2.475 0.869 Cd
8.611 6.071 2.103 Cd
9.383 3.566 3.896 Cd
0.000 0.000 0.000 Ga
6.845 4.140 2.965 Ag
```

Summary:
Density of states at the Fermi level: 4.1 states/eV/f.u.
Magnetic moment: 0.0 μB per cell
E_tot: -16.395 eV/f.u.

---

Record 7
Ca3CdGa2Ag6 | PBE | optimized geometry

Geometry as POSCAR:
```
Ca3CdGa2Ag6
1.0
5.860 0.000 0.000
-2.930 5.075 0.000
0.000 0.000 9.254
Ca Cd Ga Ag
3 1 2 6
Cartesian
0.000 0.000 0.000 Ca
0.000 3.383 5.558 Ca
2.930 1.692 3.695 Ca
0.000 0.000 4.627 Cd
0.000 3.383 9.217 Ga
2.930 1.692 0.036 Ga
0.000 1.761 2.429 Ag
-1.405 4.194 2.429 Ag
1.525 0.881 6.825 Ag
1.405 4.194 2.429 Ag
4.335 0.881 6.825 Ag
2.930 3.313 6.825 Ag
```

Summary:
Density of states at the Fermi level: 5.9 states/eV/f.u.
Magnetic moment: 0.0 μB per cell
E_tot: -31.975 eV/f.u.

---

Record 8
Ca3Cd2GaAg8 | PBE | optimized geometry

Geometry as POSCAR:
```
Ca3Cd2GaAg8
1.0
5.631 0.000 0.000
-2.815 4.876 0.000
0.000 0.000 11.078
Ca Cd Ga Ag
3 2 1 8
Cartesian
0.000 0.000 0.000 Ca
0.000 3.251 6.224 Ca
2.815 1.625 4.854 Ca
0.000 3.251 0.918 Cd
2.815 1.625 10.161 Cd
0.000 0.000 5.539 Ga
0.000 1.621 3.268 Ag
-1.411 4.066 3.268 Ag
1.404 0.811 7.810 Ag
0.000 3.251 9.264 Ag
2.815 1.625 1.814 Ag
1.411 4.066 3.268 Ag
4.226 0.811 7.810 Ag
2.815 3.255 7.810 Ag
```

Summary:
Density of states at the Fermi level: 8.0 states/eV/f.u.
Magnetic moment: 0.0 μB per cell
E_tot: -36.512 eV/f.u.

---

Record 9
Ca2CdGa4Ag3 | PBE | optimized geometry

Geometry as POSCAR:
```
Ca2CdGa4Ag3
1.0
4.306 0.000 0.000
0.000 4.306 0.000
0.000 0.000 11.628
Ca Cd Ga Ag
2 1 4 3
Cartesian
0.000 2.153 2.853 Ca
2.153 0.000 8.775 Ca
0.000 0.000 5.814 Cd
0.000 0.000 0.000 Ga
0.000 2.153 7.494 Ga
2.153 0.000 4.134 Ga
2.153 2.153 0.000 Ga
0.000 2.153 10.035 Ag
2.153 0.000 1.593 Ag
2.153 2.153 5.814 Ag
```

Summary:
Density of states at the Fermi level: 2.5 states/eV/f.u.
Magnetic moment: 0.0 μB per cell
E_tot: -28.434 eV/f.u.

---

Record 10
Ca2CdGa3Ag4 | PBE | optimized geometry

Geometry as POSCAR:
```
Ca2CdGa3Ag4
1.0
4.250 0.000 0.000
0.000 4.250 0.000
0.000 0.000 12.062
Ca Cd Ga Ag
2 1 3 4
Cartesian
0.000 2.125 2.879 Ca
2.125 0.000 9.183 Ca
0.000 0.000 6.031 Cd
0.000 2.125 10.426 Ga
2.125 0.000 1.637 Ga
2.125 2.125 6.031 Ga
0.000 0.000 0.000 Ag
0.000 2.125 7.862 Ag
2.125 0.000 4.201 Ag
2.125 2.125 0.000 Ag
```

Summary:
Density of states at the Fermi level: 4.9 states/eV/f.u.
Magnetic moment: 0.0 μB per cell
E_tot: -27.975 eV/f.u.

---

Record 11
CaCd2GaAg4 | PBE | optimized geometry

Geometry as POSCAR:
```
CaCd2GaAg4
1.0
2.389 1.380 8.360
-2.389 1.380 8.360
0.000 -2.759 8.360
Ca Cd Ga Ag
1 2 1 4
Cartesian
0.000 0.000 0.000 Ca
0.000 0.000 6.340 Cd
0.000 0.000 18.740 Cd
0.000 0.000 12.540 Ga
0.000 0.000 3.279 Ag
0.000 0.000 9.850 Ag
0.000 0.000 15.231 Ag
0.000 0.000 21.801 Ag
```

Summary:
Density of states at the Fermi level: 2.8 states/eV/f.u.
Magnetic moment: 0.0 μB per cell
E_tot: -19.157 eV/f.u.

---

Record 12
CaCdGa2Ag | PBE | optimized geometry

Geometry as POSCAR:
```
CaCdGa2Ag
1.0
-2.198 2.198 5.664
2.198 -2.198 5.664
2.198 2.198 -5.664
Ca Cd Ga Ag
1 1 2 1
Cartesian
0.000 0.000 0.000 Ca
2.198 0.000 2.832 Cd
0.000 0.000 4.426 Ga
0.000 0.000 6.901 Ga
0.000 2.198 2.832 Ag
```

Summary:
Density of states at the Fermi level: 2.8 states/eV/f.u.
Magnetic moment: 0.0 μB per cell
E_tot: -13.271 eV/f.u.